1.
Here is BaTlTe after structural relaxation from Alexandria. Energies are from PBE-GGA.

```
BaTlTe
1.0
5.705 0.000 0.000
2.852 4.940 0.000
2.852 1.647 4.658
Ba Te Tl
1 1 1
Cartesian
5.705 3.294 2.329
8.557 4.940 3.493
0.000 0.000 0.000
```

- Raw formation energy: -0.796 eV per atom
- DOS(E_F): 0.738 states/eV per atom
- Excess energy over the best structure of this formula in the dataset: 0.0150 eV/atom
- Symmetry: No. 216
- Density: 5.9 g cm⁻³

=====

2.
Here is SiNi2Se after structural relaxation from Alexandria. Energies are from PBE-GGA.

```
SiNi2Se
1.0
4.072 0.000 0.000
0.000 4.072 0.000
0.000 0.000 3.194
Ni Se Si
2 1 1
Cartesian
0.000 0.000 0.000
2.036 2.036 0.000
2.036 0.000 1.597
0.000 2.036 1.597
```

- Raw formation energy: 0.062 eV per atom
- DOS(E_F): 0.677 states/eV per atom
- Excess energy over the best structure of this formula in the dataset: 0.3644 eV/atom
- Symmetry: No. 123
- Density: 7.0 g cm⁻³

=====

3.
Here is CaZnCd2Ag4 after structural relaxation from Alexandria. Energies are from PBE-GGA.

```
CaZnCd2Ag4
1.0
-2.335 -0.539 4.226
-0.886 -4.451 1.735
5.740 -1.547 5.766
Ca Zn Cd Ag
1 1 2 4
Cartesian
0.000 0.000 0.000
1.260 -3.269 5.864
1.996 -4.901 8.855
0.523 -1.636 2.873
3.564 -3.229 7.142
-0.504 -4.944 7.468
3.023 -1.594 4.259
-1.044 -3.308 4.586
```

- DFT formation energy: -0.117 eV per atom
- DOS(E_F): 0.240 states/eV per atom
- Symmetry: No. 166
- Density: 7.9 g cm⁻³

=====

4.
Here is ZrRe3Sb after structural relaxation from Alexandria. Energies are from PBE-GGA.

```
ZrRe3Sb
1.0
-4.337 -1.797 -1.273
1.852 -1.455 -4.255
1.191 -4.279 1.982
Re Zr Sb
3 1 1
Cartesian
0.926 -0.728 -2.128
0.596 -2.140 0.991
-2.168 -0.898 -0.637
0.000 0.000 0.000
-0.647 -3.766 -1.773
```

- Raw formation energy: 2.464 eV per atom
- DOS(E_F): 1.037 states/eV per atom
- Excess energy over the best structure of this formula in the dataset: 0.4921 eV/atom
- Symmetry: No. 221
- Density: 11.1 g cm⁻³

=====

5.
Here is YTa2Cl after structural relaxation from Alexandria. Energies are from PBE-GGA.

```
YTa2Cl
1.0
-0.643 2.805 4.095
3.550 -2.134 2.811
0.757 1.837 -4.595
Cl Ta Y
1 2 1
Cartesian
0.783 2.489 1.477
0.000 0.000 0.000
2.880 0.019 0.835
1.453 0.336 3.453
```

- Raw formation energy: 0.574 eV per atom
- DOS(E_F): 0.975 states/eV per atom
- Excess energy over the best structure of this formula in the dataset: 0.7607 eV/atom
- Symmetry: No. 119
- Density: 9.8 g cm⁻³

=====

6.
Here is NiRhPb2 after structural relaxation from Alexandria. Energies are from PBE-GGA.

```
NiRhPb2
1.0
7.314 0.000 0.000
0.000 7.314 0.000
3.657 3.657 3.131
Pb Ni Rh
4 2 2
Cartesian
5.375 1.828 0.783
1.938 5.485 0.783
5.485 5.595 2.348
9.142 9.032 2.348
3.657 3.657 0.000
3.657 7.314 1.566
0.000 0.000 0.000
7.314 3.657 1.566
```

- DFT formation energy: 0.398 eV per atom
- DOS(E_F): 1.016 states/eV per atom
- Excess energy over the best structure of this formula in the dataset: 0.3394 eV/atom
- Symmetry: No. 122
- Density: 11.4 g cm⁻³

=====

Among the records above, which one has the lowest density?
BaTlTe

=====

Look up the DOS(E_F) of the sixth one.
1.016 states/eV per atom

=====

Look up the DOS(E_F) of the first one.
0.738 states/eV per atom

=====

Among the records above, which one has the lowest DOS(E_F)?
CaZnCd2Ag4